1.
A relaxed La7PrGa4 crystal. Source: the Alexandria database, functional GGA-PBE.

Lattice parameters (Å, degrees): 5.7979 9.4931 7.5629 78.54 67.46 72.22
Last column: nearest neighbours and their distance in Å.
Positions (direct):
La (0.7976, 0.8819, 0.5229)  1 La 3.19, 4 Ga 3.39-3.51
La (0.2024, 0.1181, 0.4771)  1 La 3.19, 4 Ga 3.39-3.51
La (0.0666, 0.6197, 0.2471)  5 Ga 3.14-3.49, 2 La 3.19-3.38
La (0.9334, 0.3803, 0.7529)  5 Ga 3.14-3.49, 2 La 3.19-3.38
La (0.3010, 0.6359, 0.7621)  4 Ga 3.02-3.27, 1 La 3.38
La (0.5000, 0.0000, 0.0000)  2 Pr 2.90, 4 Ga 3.01-3.10
La (0.6990, 0.3641, 0.2379)  4 Ga 3.02-3.27, 1 La 3.38
Pr (0.0000, 0.0000, 0.0000)  2 La 2.90
Ga (0.5512, 0.2424, 0.6551)  1 Ga 2.81, 2 La 3.02-3.10
Ga (0.4488, 0.7576, 0.3449)  1 Ga 2.81, 2 La 3.02-3.10
Ga (0.6801, 0.6700, 0.9698)  1 Ga 2.81, 1 La 3.01
Ga (0.3199, 0.3300, 0.0302)  1 Ga 2.81, 1 La 3.01

Total magnetization (μB per atom): 0.031
Total DFT energy (no corrections) (eV/atom): -4.5282
DOS at the Fermi energy (states/eV per cell): 12.10
SG: No. 12
ΔH_f (0 K) (eV per formula unit): -3.0


2.
A relaxed SiHg2Pb crystal. Source: the Alexandria database, functional GGA-PBE.

Lattice parameters (Å, degrees): 5.1775 5.1775 5.1775 60.00 60.00 60.00
Last column: nearest neighbours and their distance in Å.
Positions (direct):
Pb (0.5000, 0.5000, 0.5000)  8 Hg 3.17
Si (0.0000, 0.0000, 0.0000)  8 Hg 3.17
Hg (0.2500, 0.2500, 0.2500)  4 Pb 3.17, 4 Si 3.17
Hg (0.7500, 0.7500, 0.7500)  4 Si 3.17, 4 Pb 3.17

Total magnetization (μB per atom): 0.000
Energy above the lowest structure with this stoichiometry (eV per formula unit): 0.54
Total DFT energy (no corrections) (eV/atom): -2.0355
DOS at the Fermi energy (states/eV per cell): 0.94
SG: No. 225
Raw formation energy (kJ per mole of atoms): 38.4


3.
A relaxed LaPmHoIn crystal. Source: the Alexandria database, functional GGA-PBE.

Lattice parameters (Å, degrees): 5.5319 5.5319 5.5317 120.00 120.00 90.00
Last column: nearest neighbours and their distance in Å.
Positions (direct):
La (0.5000, 0.5000, 0.0000)  4 Ho 3.39, 4 Pm 3.39
Pm (0.7500, 0.2500, 0.5000)  4 La 3.39, 4 In 3.39
Ho (0.2500, 0.7500, 0.5000)  4 La 3.39, 4 In 3.39
In (0.0000, 0.0000, 0.0000)  4 Ho 3.39, 4 Pm 3.39

Total magnetization (μB per atom): 0.001
Energy above the lowest structure with this stoichiometry (eV per formula unit): 0.24
Total DFT energy (no corrections) (eV/atom): -4.3527
DOS at the Fermi energy (states/eV per cell): 7.35
SG: No. 216
ΔH_f (0 K) (eV per formula unit): -0.4